Record 1
Below is an optimized crystal structure of Y2PW, with properties calculated at the PBE level.

a = 5.715 Å, b = 5.715 Å, c = 4.136 Å
α = 90.00°, β = 90.00°, γ = 138.64°
Fractional positions:
Y  0.107  0.893  0.000
Y  0.396  0.604  0.500
P  0.812  0.188  0.000
W  0.686  0.314  0.500

Results
As for the formation energy: -1.37 eV/f.u. As for the size of the total moment: 0.000 μB/cell. Its crystal system is orthorhombic. Its volume is 89.28 Å³ per cell. Its space group is Amm2.

=====

Record 2
Below is an optimized crystal structure of La2UGeN5, with properties calculated at the PBE level.

a = 3.508 Å, b = 7.440 Å, c = 10.762 Å
α = 90.00°, β = 90.00°, γ = 103.64°
Each line ends with the local moment (μB).
Fractional positions:
La  0.868  0.736  0.825  0.02
La  0.107  0.214  0.677  0.01
La  0.132  0.264  0.325  0.02
La  0.893  0.786  0.177  0.01
U  0.799  0.598  0.527  0.69
U  0.201  0.402  0.027  0.69
Ge  0.546  0.091  0.935  0.00
Ge  0.454  0.909  0.435  0.00
N  0.345  0.690  0.008  -0.02
N  0.681  0.361  0.891  -0.02
N  0.491  0.983  0.782  0.00
N  0.287  0.575  0.655  -0.03
N  0.961  0.922  0.523  -0.01
N  0.655  0.310  0.508  -0.02
N  0.319  0.639  0.391  -0.02
N  0.509  0.017  0.282  0.00
N  0.713  0.425  0.155  -0.03
N  0.039  0.078  0.023  -0.01

Results
As for the size of the total moment: 1.353 μB/cell. Its crystal system is orthorhombic. Its volume is 272.96 Å³ per cell. As for the raw formation energy: -1032 meV/atom. Its space group is Cmc2_1.

=====

Record 3
Below is an optimized crystal structure of Li6Mg2In2Au, with properties calculated at the PBE level.

a = 5.273 Å, b = 7.241 Å, c = 6.242 Å
α = 106.36°, β = 90.00°, γ = 111.35°
Fractional positions:
Li  0.735  0.470  0.793
Li  0.182  0.871  0.119
Li  0.310  0.129  0.881
Li  0.818  0.129  0.881
Li  0.690  0.871  0.119
Li  0.265  0.530  0.207
Mg  0.893  0.786  0.530
Mg  0.107  0.214  0.470
In  0.665  0.331  0.282
In  0.335  0.669  0.718
Au  0.500  0.000  0.500

Results
As for the formation energy: -2.29 eV/f.u. As for the size of the total moment: 0.000 μB/cell. Its crystal system is monoclinic. Its volume is 211.58 Å³ per cell. Its space group is C2/m.

=====

Record 4
Below is an optimized crystal structure of BeRuW2, with properties calculated at the PBE level.

a = 2.780 Å, b = 3.811 Å, c = 5.299 Å
α = 90.00°, β = 90.00°, γ = 90.00°
Fractional positions:
Ru  0.500  0.500  0.750
W  0.000  0.000  0.008
W  0.000  0.000  0.492
Be  0.500  0.500  0.250

Results
As for the formation energy: 0.43 eV/f.u. As for the size of the total moment: 0.000 μB/cell. The calculation puts the energy above the lowest structure with this stoichiometry at 0.077 eV/atom. Its crystal system is orthorhombic. Its volume is 56.15 Å³ per cell. Its space group is Pmmm.

=====

Record 5
Below is an optimized crystal structure of CaAg2Rh, with properties calculated at the PBE level.

a = 4.778 Å, b = 4.778 Å, c = 4.778 Å
α = 60.00°, β = 60.00°, γ = 60.00°
Fractional positions:
Ca  0.000  0.000  0.000
Rh  0.500  0.500  0.500
Ag  0.250  0.250  0.250
Ag  0.750  0.750  0.750

Results
As for the formation energy: -0.27 eV/f.u. As for the size of the total moment: 0.000 μB/cell. The calculation puts the energy above the lowest structure with this stoichiometry at 0.084 eV/atom. Its crystal system is cubic. Its volume is 77.15 Å³ per cell. Its space group is Fm-3m.

=====

Record 6
Below is an optimized crystal structure of MnPPt2, with properties calculated at the PBE level.

a = 3.017 Å, b = 3.596 Å, c = 5.469 Å
α = 90.00°, β = 90.00°, γ = 90.00°
Each line ends with the local moment (μB).
Fractional positions:
Mn  0.500  0.500  0.000  3.66
P  0.500  0.500  0.500  -0.05
Pt  0.000  0.000  0.751  0.11
Pt  0.000  0.000  0.249  0.11

Results
As for the formation energy: -0.73 eV/f.u. As for the size of the total moment: 3.943 μB/cell. Its crystal system is orthorhombic. Its volume is 59.32 Å³ per cell. Its space group is Pmmm.

=====

Record 7
Below is an optimized crystal structure of Mn2AgPPd, with properties calculated at the PBE level.

a = 4.406 Å, b = 4.609 Å, c = 4.406 Å
α = 90.00°, β = 90.00°, γ = 90.00°
Each line ends with the local moment (μB).
Fractional positions:
P  0.000  0.000  0.000  -0.08
Mn  0.000  0.000  0.500  3.51
Mn  0.500  0.000  0.000  3.46
Pd  0.500  0.500  0.500  0.20
Ag  0.000  0.500  0.000  0.01

Results
As for the formation energy: 1.49 eV/f.u. As for the size of the total moment: 7.356 μB/cell. Its crystal system is tetragonal. Its volume is 89.47 Å³ per cell. Its space group is P4/mmm.

=====

Record 8
Below is an optimized crystal structure of DyYErTh, with properties calculated at the PBE level.

a = 5.661 Å, b = 5.661 Å, c = 5.661 Å
α = 60.00°, β = 60.00°, γ = 60.00°
Fractional positions:
Y  0.250  0.250  0.250
Dy  0.500  0.500  0.500
Th  0.000  0.000  0.000
Er  0.750  0.750  0.750

Results
As for the formation energy: 0.57 eV/f.u. As for the size of the total moment: 0.001 μB/cell. The calculation puts the energy above the lowest structure with this stoichiometry at 0.136 eV/atom. Its crystal system is cubic. Its volume is 128.28 Å³ per cell. Its space group is F-43m.